Na3NbAl | PBE-GGA | optimized geometry

Lattice parameters (Å, degrees): 5.557 5.557 5.557 90.00 90.00 90.00
Sites, in units of the cell vectors:
Na (0.000, 0.500, 0.000)
Na (0.000, 0.000, 0.500)
Na (0.500, 0.000, 0.000)
Nb (0.500, 0.500, 0.500)
Al (0.000, 0.000, 0.000)

## Properties
formation energy from the elements	6.41	eV/f.u.
total moment	0.718	μB per atom
energy above the most stable polymorph in this dataset	0.00	kcal/mol of atoms

---

CoTeRh2 | PBE-GGA | optimized geometry

Lattice parameters (Å, degrees): 4.723 4.723 3.994 64.99 64.99 50.06
Sites, in units of the cell vectors:
Co (0.250, 0.250, 0.250)
Rh (0.000, 0.000, 0.000)
Rh (0.500, 0.500, 0.500)
Te (0.750, 0.750, 0.750)

## Properties
formation energy (no corrections)	0.03	eV per atom
total moment	0.565	μB per atom

---

Sm3Dy6Y2Pu | PBE-GGA | optimized geometry

Lattice parameters (Å, degrees): 6.165 6.165 11.753 95.03 95.03 120.02
Sites, in units of the cell vectors:
Sm (0.167, 0.833, 0.500)
Sm (0.833, 0.167, 0.500)
Sm (0.500, 0.500, 0.500)
Dy (0.918, 0.589, 0.753)
Dy (0.753, 0.753, 0.247)
Dy (0.082, 0.411, 0.247)
Dy (0.589, 0.918, 0.753)
Dy (0.247, 0.247, 0.753)
Dy (0.411, 0.082, 0.247)
Y (0.333, 0.667, 0.000)
Y (0.667, 0.333, 0.000)
Pu (0.000, 0.000, 0.000)

## Properties
formation energy from the elements	0.55	eV/f.u.
total moment	0.544	μB per atom

---

Y2PbAu4 | PBE-GGA | optimized geometry

Lattice parameters (Å, degrees): 4.971 4.971 8.482 72.96 72.96 60.00
Sites, in units of the cell vectors:
Y (0.749, 0.749, 0.752)
Y (0.251, 0.251, 0.248)
Pb (0.000, 0.000, 0.000)
Au (0.871, 0.871, 0.388)
Au (0.129, 0.129, 0.612)
Au (0.616, 0.616, 0.152)
Au (0.384, 0.384, 0.848)

## Properties
formation energy from the elements	-3.76	eV/f.u.
total moment	0.000	μB per atom

---

CdIr2W | PBE-GGA | optimized geometry

Lattice parameters (Å, degrees): 2.769 2.769 9.586 90.00 90.00 117.01
Sites, in units of the cell vectors:
Ir (0.000, 0.000, 0.008)
Ir (0.500, 0.500, 0.252)
W (0.000, 0.000, 0.483)
Cd (0.500, 0.500, 0.757)

## Properties
formation energy from the elements	1.50	eV/f.u.
total moment	0.000	μB per atom

---

SrCdW2 | PBE-GGA | optimized geometry

Lattice parameters (Å, degrees): 3.108 4.947 5.362 90.00 90.00 90.00
Sites, in units of the cell vectors:
Cd (0.500, 0.000, 0.500)
Sr (0.000, 0.500, 0.500)
W (0.000, 0.000, 0.000)
W (0.500, 0.500, 0.000)

## Properties
formation energy from the elements	4.32	eV/f.u.
total moment	0.000	μB per atom

---

| no. | E_tot (eV per atom) | D(E_F) (states/eV/atom) |
| --- | --- | --- |
| 1 | -2.272 | 1.002 |
| 2 | -6.210 | 0.726 |
| 3 | -5.706 | 1.980 |
| 4 | -4.786 | 0.560 |
| 5 | -7.524 | 0.856 |
| 6 | -6.045 | 0.622 |